[1]
DFT (GGA-PBE) results for an optimized crystal structure of YCr2Pt2.

a = 3.973 Å, b = 3.973 Å, c = 12.016 Å
α = 90.00°, β = 90.00°, γ = 90.00°
Space group I4/mmm (No. 139)
Inequivalent atoms, fractional coordinates:
1 Y 0.000 0.000 0.000
2 Cr 0.000 0.500 0.250
3 Pt 0.000 0.000 0.390

## Properties
The value obtained for the calculated volume is 94.82 Å³/f.u. Its energy of formation from the pure elements is -0.319 eV per atom.

[2]
DFT (GGA-PBE) results for an optimized crystal structure of YCrPt4.

a = 7.564 Å, b = 7.564 Å, c = 7.564 Å
α = 90.00°, β = 90.00°, γ = 90.00°
Space group F-43m (No. 216)
Inequivalent atoms, fractional coordinates:
1 Y 0.000 0.000 0.000
2 Cr 0.250 0.250 0.250
3 Pt 0.124 0.124 0.624

## Properties
The value obtained for the calculated volume is 108.20 Å³/f.u. Its energy of formation from the pure elements is -0.599 eV per atom.

[3]
DFT (GGA-PBE) results for an optimized crystal structure of YCr3Pt.

a = 4.860 Å, b = 4.860 Å, c = 4.860 Å
α = 90.00°, β = 90.00°, γ = 90.00°
Space group Pm-3m (No. 221)
Inequivalent atoms, fractional coordinates:
1 Y 0.000 0.000 0.000
2 Cr 0.000 0.500 0.500
3 Pt 0.500 0.500 0.500

## Properties
The value obtained for the calculated volume is 114.77 Å³/f.u. Its energy of formation from the pure elements is 0.806 eV per atom.